An optimized crystal structure of InGaPO2, computed with PBE-GGA.

The structure in CIF format:
```
data_InGaPO2
_chemical_formula_sum 'In1 Ga1 P1 O2'
_symmetry_space_group_name_H-M 'P 4/m m m'
_symmetry_Int_Tables_number 123
_symmetry_space_group_name_Hall '-P 4 2'
_cell_length_a 3.817
_cell_length_b 3.817
_cell_length_c 5.284
_cell_angle_alpha 90.00
_cell_angle_beta 90.00
_cell_angle_gamma 90.00
loop_
_atom_site_label
_atom_site_type_symbol
_atom_site_fract_x
_atom_site_fract_y
_atom_site_fract_z
In1 In 0.000 0.000 0.000
Ga1 Ga 0.500 0.500 0.500
P1 P 0.500 0.500 0.000
O1 O 0.000 0.500 0.500
```

Calculated values
The value obtained for the offset from the most stable computed form is 0 meV per atom. The formation energy (no corrections) is -0.404 eV/atom. For the total DFT energy (no corrections), the calculation gives -23.11 eV for the cell shown. The value obtained for the total magnetization is 0.213 μB per atom.